No. 1
VASP calculation (GGA-PBE) on crystalline ReHg3 at its relaxed geometry.

Properties
* magnetic moment: 0.493 μB per atom
* energy of formation from the pure elements: 1105.8 meV per atom
* SG: Pm-3n (223)
* distance to the lowest polymorph of the same formula: 57.3 kJ/mol of atoms

Cell: 5.5243 5.5243 5.5243 Å, 90.00 90.00 90.00°
Last column: nearest neighbours and their distance in Å.
Element x y z (fractional)
Re1 0.0000 0.0000 0.0000  12 Hg 3.09
Re2 0.5000 0.5000 0.5000  12 Hg 3.09
Hg1 0.0000 0.2500 0.5000  2 Hg 2.76, 4 Re 3.09
Hg2 0.0000 0.7500 0.5000  2 Hg 2.76, 4 Re 3.09
Hg3 0.2500 0.5000 0.0000  2 Hg 2.76, 4 Re 3.09
Hg4 0.5000 0.0000 0.2500  2 Hg 2.76, 4 Re 3.09
Hg5 0.5000 0.0000 0.7500  2 Hg 2.76, 4 Re 3.09
Hg6 0.7500 0.5000 0.0000  2 Hg 2.76, 4 Re 3.09


No. 2
VASP calculation (GGA-PBE) on crystalline ReHg3 at its relaxed geometry.

Properties
* magnetic moment: 0.000 μB per atom
* energy of formation from the pure elements: 833.1 meV per atom
* SG: R-3m (166)
* distance to the lowest polymorph of the same formula: 31.0 kJ/mol of atoms

Cell: 9.7389 9.7389 2.8967 Å, 90.00 90.00 120.00°
Last column: nearest neighbours and their distance in Å.
Element x y z (fractional)
Re1 0.0000 0.0000 0.0000  2 Re 2.90, 6 Hg 2.97
Re2 0.3333 0.6667 0.6667  2 Re 2.90, 6 Hg 2.97
Re3 0.6667 0.3333 0.3333  2 Re 2.90, 6 Hg 2.97
Hg1 0.0000 0.5000 0.0000  6 Hg 2.90-2.97, 2 Re 2.97
Hg2 0.1667 0.3333 0.3333  6 Hg 2.90-2.97, 2 Re 2.97
Hg3 0.1667 0.8333 0.3333  6 Hg 2.90-2.97, 2 Re 2.97
Hg4 0.3333 0.1667 0.6667  6 Hg 2.90-2.97, 2 Re 2.97
Hg5 0.5000 0.0000 0.0000  6 Hg 2.90-2.97, 2 Re 2.97
Hg6 0.5000 0.5000 0.0000  6 Hg 2.90-2.97, 2 Re 2.97
Hg7 0.6667 0.8333 0.3333  6 Hg 2.90-2.97, 2 Re 2.97
Hg8 0.8333 0.1667 0.6667  6 Hg 2.90-2.97, 2 Re 2.97
Hg9 0.8333 0.6667 0.6667  6 Hg 2.90-2.97, 2 Re 2.97


No. 3
VASP calculation (GGA-PBE) on crystalline Re4Hg at its relaxed geometry.

Properties
* magnetic moment: 0.000 μB per atom
* energy of formation from the pure elements: 592.7 meV per atom
* SG: I4/mmm (139)
* distance to the lowest polymorph of the same formula: 9.0 kJ/mol of atoms

Cell: 4.0694 4.0694 11.2091 Å, 90.00 90.00 90.00°
Last column: nearest neighbours and their distance in Å.
Element x y z (fractional)
Re1 0.0000 0.0000 0.1156  5 Re 2.53-2.59
Re2 0.0000 0.0000 0.8844  5 Re 2.53-2.59
Re3 0.0000 0.5000 0.2500  4 Re 2.53
Re4 0.0000 0.5000 0.7500  4 Re 2.53
Re5 0.5000 0.0000 0.2500  4 Re 2.53
Re6 0.5000 0.0000 0.7500  4 Re 2.53
Re7 0.5000 0.5000 0.3844  5 Re 2.53-2.59
Re8 0.5000 0.5000 0.6156  5 Re 2.53-2.59
Hg1 0.0000 0.0000 0.5000  16 Re 3.16-3.46
Hg2 0.5000 0.5000 0.0000  16 Re 3.16-3.46


No. 4
VASP calculation (GGA-PBE) on crystalline Re3Hg at its relaxed geometry.

Properties
* magnetic moment: 0.000 μB per atom
* energy of formation from the pure elements: 531.3 meV per atom
* SG: Pmmm (47)
* distance to the lowest polymorph of the same formula: 13.1 kJ/mol of atoms

Cell: 2.8449 3.9971 5.7901 Å, 90.00 90.00 90.00°
Last column: nearest neighbours and their distance in Å.
Element x y z (fractional)
Re1 0.0000 0.0000 0.0000  10 Re 2.74-2.84, 2 Hg 2.90
Re2 0.5000 0.5000 0.2116  5 Re 2.45-2.74
Re3 0.5000 0.5000 0.7884  5 Re 2.45-2.74
Hg1 0.0000 0.0000 0.5000  2 Hg 2.84, 10 Re 2.90-2.97


No. 5
VASP calculation (GGA-PBE) on crystalline Re3Hg4 at its relaxed geometry.

Properties
* magnetic moment: 0.099 μB per atom
* energy of formation from the pure elements: 627.2 meV per atom
* SG: I4/mmm (139)
* distance to the lowest polymorph of the same formula: 0.0 kJ/mol of atoms

Cell: 2.9544 2.9544 30.7565 Å, 90.00 90.00 90.00°
Last column: nearest neighbours and their distance in Å.
Element x y z (fractional)
Re1 0.0000 0.0000 0.0000  4 Re 2.95, 8 Hg 2.96
Re2 0.0000 0.0000 0.2741  4 Re 2.56
Re3 0.0000 0.0000 0.7259  4 Re 2.56
Re4 0.5000 0.5000 0.2259  4 Re 2.56
Re5 0.5000 0.5000 0.5000  4 Re 2.95, 8 Hg 2.96
Re6 0.5000 0.5000 0.7741  4 Re 2.56
Hg1 0.0000 0.0000 0.1527  4 Hg 2.95, 4 Re 3.07
Hg2 0.0000 0.0000 0.4318  4 Hg 2.95, 4 Re 2.96
Hg3 0.0000 0.0000 0.5682  4 Hg 2.95, 4 Re 2.96
Hg4 0.0000 0.0000 0.8473  4 Hg 2.95, 4 Re 3.07
Hg5 0.5000 0.5000 0.0682  4 Hg 2.95, 4 Re 2.96
Hg6 0.5000 0.5000 0.3473  4 Hg 2.95, 4 Re 3.07
Hg7 0.5000 0.5000 0.6527  4 Hg 2.95, 4 Re 3.07
Hg8 0.5000 0.5000 0.9318  4 Hg 2.95, 4 Re 2.96


No. 6
VASP calculation (GGA-PBE) on crystalline ReHg3 at its relaxed geometry.

Properties
* magnetic moment: 0.341 μB per atom
* energy of formation from the pure elements: 958.2 meV per atom
* SG: Pmmn (59)
* distance to the lowest polymorph of the same formula: 43.0 kJ/mol of atoms

Cell: 4.6489 5.9577 5.8773 Å, 90.00 90.00 90.00°
Last column: nearest neighbours and their distance in Å.
Element x y z (fractional)
Re1 0.2500 0.2500 0.1849  10 Hg 2.91-3.11
Re2 0.7500 0.7500 0.8151  10 Hg 2.91-3.11
Hg1 0.2500 0.0015 0.6499  7 Hg 2.92-3.10, 3 Re 2.93-3.11
Hg2 0.2500 0.4985 0.6499  7 Hg 2.92-3.10, 3 Re 2.93-3.11
Hg3 0.2500 0.7500 0.1125  4 Re 2.91-3.01, 6 Hg 3.09-3.10
Hg4 0.7500 0.2500 0.8875  4 Re 2.91-3.01, 6 Hg 3.09-3.10
Hg5 0.7500 0.5015 0.3501  7 Hg 2.92-3.10, 3 Re 2.93-3.11
Hg6 0.7500 0.9985 0.3501  7 Hg 2.92-3.10, 3 Re 2.93-3.11


No. 7
VASP calculation (GGA-PBE) on crystalline ReHg3 at its relaxed geometry.

Properties
* magnetic moment: 0.131 μB per atom
* energy of formation from the pure elements: 887.9 meV per atom
* SG: I4/mmm (139)
* distance to the lowest polymorph of the same formula: 36.2 kJ/mol of atoms

Cell: 4.1740 4.1740 18.1408 Å, 90.00 90.00 90.00°
Last column: nearest neighbours and their distance in Å.
Element x y z (fractional)
Re1 0.0000 0.0000 0.1125  12 Hg 2.92-3.25
Re2 0.0000 0.0000 0.8875  12 Hg 2.92-3.25
Re3 0.5000 0.5000 0.3875  12 Hg 2.92-3.25
Re4 0.5000 0.5000 0.6125  12 Hg 2.92-3.25
Hg1 0.0000 0.0000 0.3722  4 Re 2.96, 8 Hg 3.04-3.12
Hg2 0.0000 0.0000 0.6278  4 Re 2.96, 8 Hg 3.04-3.12
Hg3 0.0000 0.5000 0.0000  4 Re 2.92, 8 Hg 2.95-3.12
Hg4 0.0000 0.5000 0.2500  8 Hg 2.95-3.04, 4 Re 3.25
Hg5 0.0000 0.5000 0.5000  4 Re 2.92, 8 Hg 2.95-3.12
Hg6 0.0000 0.5000 0.7500  8 Hg 2.95-3.04, 4 Re 3.25
Hg7 0.5000 0.0000 0.0000  4 Re 2.92, 8 Hg 2.95-3.12
Hg8 0.5000 0.0000 0.2500  8 Hg 2.95-3.04, 4 Re 3.25
Hg9 0.5000 0.0000 0.5000  4 Re 2.92, 8 Hg 2.95-3.12
Hg10 0.5000 0.0000 0.7500  8 Hg 2.95-3.04, 4 Re 3.25
Hg11 0.5000 0.5000 0.1278  4 Re 2.96, 8 Hg 3.04-3.12
Hg12 0.5000 0.5000 0.8722  4 Re 2.96, 8 Hg 3.04-3.12


No. 8
VASP calculation (GGA-PBE) on crystalline ReHg3 at its relaxed geometry.

Properties
* magnetic moment: 0.000 μB per atom
* energy of formation from the pure elements: 655.7 meV per atom
* SG: R-3m (166)
* distance to the lowest polymorph of the same formula: 13.8 kJ/mol of atoms

Cell: 2.9104 2.9104 35.1803 Å, 90.00 90.00 120.00°
Last column: nearest neighbours and their distance in Å.
Element x y z (fractional)
Re1 0.0000 0.0000 0.0000  6 Re 2.91, 6 Hg 3.00
Re2 0.3333 0.6667 0.6667  6 Re 2.91, 6 Hg 3.00
Re3 0.6667 0.3333 0.3333  6 Re 2.91, 6 Hg 3.00
Hg1 0.0000 0.0000 0.2627  6 Hg 2.91, 3 Re 3.00
Hg2 0.0000 0.0000 0.5000  6 Hg 2.91
Hg3 0.0000 0.0000 0.7373  6 Hg 2.91, 3 Re 3.00
Hg4 0.3333 0.6667 0.1667  6 Hg 2.91
Hg5 0.3333 0.6667 0.4039  6 Hg 2.91, 3 Re 3.00
Hg6 0.3333 0.6667 0.9294  6 Hg 2.91, 3 Re 3.00
Hg7 0.6667 0.3333 0.0706  6 Hg 2.91, 3 Re 3.00
Hg8 0.6667 0.3333 0.5961  6 Hg 2.91, 3 Re 3.00
Hg9 0.6667 0.3333 0.8333  6 Hg 2.91


No. 9
VASP calculation (GGA-PBE) on crystalline Re3Hg4 at its relaxed geometry.

Properties
* magnetic moment: 0.000 μB per atom
* energy of formation from the pure elements: 903.0 meV per atom
* SG: P6/mmm (191)
* distance to the lowest polymorph of the same formula: 26.6 kJ/mol of atoms

Cell: 5.3664 5.3664 5.3721 Å, 90.00 90.00 120.00°
Last column: nearest neighbours and their distance in Å.
Element x y z (fractional)
Re1 0.0000 0.5000 0.0000  4 Re 2.68
Re2 0.5000 0.0000 0.0000  4 Re 2.68
Re3 0.5000 0.5000 0.0000  4 Re 2.68
Hg1 0.0000 0.0000 0.2521  2 Hg 2.66-2.71
Hg2 0.0000 0.0000 0.7479  2 Hg 2.66-2.71
Hg3 0.3333 0.6667 0.5000  9 Hg 3.10-3.37, 6 Re 3.10
Hg4 0.6667 0.3333 0.5000  9 Hg 3.10-3.37, 6 Re 3.10


No. 10
VASP calculation (GGA-PBE) on crystalline ReHg3 at its relaxed geometry.

Properties
* magnetic moment: 0.000 μB per atom
* energy of formation from the pure elements: 855.7 meV per atom
* SG: Pmmm (47)
* distance to the lowest polymorph of the same formula: 33.1 kJ/mol of atoms

Cell: 2.9012 4.4398 6.1809 Å, 90.00 90.00 90.00°
Last column: nearest neighbours and their distance in Å.
Element x y z (fractional)
Re1 0.0000 0.0000 0.0000  2 Re 2.90, 10 Hg 3.01-3.09
Hg1 0.0000 0.0000 0.5000  10 Hg 2.90-3.14, 2 Re 3.09
Hg2 0.5000 0.5000 0.2293  7 Hg 2.83-3.14, 4 Re 3.01
Hg3 0.5000 0.5000 0.7707  7 Hg 2.83-3.14, 4 Re 3.01


No. 11
VASP calculation (GGA-PBE) on crystalline Re3Hg at its relaxed geometry.

Properties
* magnetic moment: 0.019 μB per atom
* energy of formation from the pure elements: 895.8 meV per atom
* SG: Fm-3m (225)
* distance to the lowest polymorph of the same formula: 48.3 kJ/mol of atoms

Cell: 6.3787 6.3787 6.3787 Å, 90.00 90.00 90.00°
Last column: nearest neighbours and their distance in Å.
Element x y z (fractional)
Re1 0.0000 0.0000 0.0000  8 Re 2.76
Re2 0.0000 0.5000 0.5000  8 Re 2.76
Re3 0.2500 0.2500 0.2500  4 Re 2.76, 4 Hg 2.76
Re4 0.2500 0.2500 0.7500  4 Hg 2.76, 4 Re 2.76
Re5 0.2500 0.7500 0.2500  4 Hg 2.76, 4 Re 2.76
Re6 0.2500 0.7500 0.7500  4 Re 2.76, 4 Hg 2.76
Re7 0.5000 0.0000 0.5000  8 Re 2.76
Re8 0.5000 0.5000 0.0000  8 Re 2.76
Re9 0.7500 0.2500 0.2500  4 Hg 2.76, 4 Re 2.76
Re10 0.7500 0.2500 0.7500  4 Re 2.76, 4 Hg 2.76
Re11 0.7500 0.7500 0.2500  4 Re 2.76, 4 Hg 2.76
Re12 0.7500 0.7500 0.7500  4 Hg 2.76, 4 Re 2.76
Hg1 0.0000 0.0000 0.5000  8 Re 2.76
Hg2 0.0000 0.5000 0.0000  8 Re 2.76
Hg3 0.5000 0.0000 0.0000  8 Re 2.76
Hg4 0.5000 0.5000 0.5000  8 Re 2.76


No. 12
VASP calculation (GGA-PBE) on crystalline Re8Hg at its relaxed geometry.

Properties
* magnetic moment: 0.000 μB per atom
* energy of formation from the pure elements: 278.8 meV per atom
* SG: I4/mmm (139)

Cell: 6.2872 6.2872 6.2872 Å, 95.75 95.75 143.11°
Last column: nearest neighbours and their distance in Å.
Element x y z (fractional)
Re1 0.0000 0.3426 0.3426  11 Re 2.65-2.85, 1 Hg 2.89
Re2 0.0000 0.6574 0.6574  11 Re 2.65-2.85, 1 Hg 2.89
Re3 0.3209 0.3209 0.6418  8 Re 2.61-2.85, 2 Hg 2.92
Re4 0.3209 0.6791 0.0000  8 Re 2.61-2.85, 2 Hg 2.92
Re5 0.3426 0.0000 0.3426  11 Re 2.65-2.85, 1 Hg 2.89
Re6 0.6574 0.0000 0.6574  11 Re 2.65-2.85, 1 Hg 2.89
Re7 0.6791 0.3209 0.0000  8 Re 2.61-2.85, 2 Hg 2.92
Re8 0.6791 0.6791 0.3582  8 Re 2.61-2.85, 2 Hg 2.92
Hg1 0.0000 0.0000 0.0000  12 Re 2.89-2.92